(1)
Pm2Nd4Tl after structural relaxation. Source: Alexandria, functional GGA-PBE.

Properties
Energy of formation from the pure elements in kJ/mol of atoms: -0.6

a b c (Å): 11.0667 6.6489 6.4644
angles (deg): 90.31 90.00 90.00
Fractional positions:
Nd 0.7622 0.2644 0.8989
Nd 0.7378 0.7644 0.8989
Nd 0.8450 0.9644 0.4244
Nd 0.1550 0.0356 0.5756
Nd 0.2622 0.2356 0.1011
Nd 0.3450 0.5356 0.5756
Nd 0.6550 0.4644 0.4244
Nd 0.2378 0.7356 0.1011
Pm 0.0337 0.5439 0.7476
Pm 0.4663 0.0439 0.7476
Pm 0.5337 0.9561 0.2524
Pm 0.9663 0.4561 0.2524
Tl 0.5000 0.5000 0.0000
Tl 0.0000 0.0000 0.0000


(2)
LiAsSe after structural relaxation. Source: Alexandria, functional GGA-PBE.

Properties
Uncorrected formation energy in eV per formula unit: -0.59
Relative energy among the computed polymorphs in meV/atom: 392.9

a b c (Å): 4.3280 4.3280 4.3280
angles (deg): 60.00 60.00 60.00
Fractional positions:
Se 0.0000 0.0000 0.0000
As 0.5000 0.5000 0.5000
Li 0.2500 0.2500 0.2500


(3)
Ca2ZrPb after structural relaxation. Source: Alexandria, functional GGA-PBE.

Properties
Energy of formation from the pure elements in kJ/mol of atoms: 4.2

a b c (Å): 6.7276 6.3609 3.3324
angles (deg): 84.64 71.42 116.45
Fractional positions:
Pb 0.0000 0.5000 0.5000
Ca 0.0000 0.0000 0.0000
Ca 0.5000 0.0000 0.5000
Zr 0.5000 0.5000 0.0000


(4)
TbIn3Ni3 after structural relaxation. Source: Alexandria, functional GGA-PBE.

Properties
Energy of formation from the pure elements in kJ/mol of atoms: 30.7

a b c (Å): 6.9015 6.9015 6.9015
angles (deg): 90.00 90.00 90.00
Fractional positions:
Tb 0.0000 0.0000 0.0000
Tb 0.5000 0.5000 0.5000
Ni 0.2500 0.5000 0.0000
Ni 0.0000 0.2500 0.5000
Ni 0.5000 0.0000 0.2500
Ni 0.5000 0.0000 0.7500
Ni 0.7500 0.5000 0.0000
Ni 0.0000 0.7500 0.5000
In 0.2500 0.0000 0.5000
In 0.5000 0.7500 0.0000
In 0.0000 0.5000 0.2500
In 0.5000 0.2500 0.0000
In 0.0000 0.5000 0.7500
In 0.7500 0.0000 0.5000


(5)
Ce4HIr2 after structural relaxation. Source: Alexandria, functional GGA-PBE.

Properties
Relative energy among the computed polymorphs in meV/atom: 0.0

a b c (Å): 7.9045 7.9046 7.9055
angles (deg): 119.98 119.97 90.03
Each line ends with the local moment (μB).
Fractional positions:
Ce 0.3739 0.6266 0.7473  0.46
Ce 0.3733 0.6261 0.2525  0.46
Ce 0.8767 0.1239 0.2474  0.46
Ce 0.8794 0.6266 0.2527  0.46
Ce 0.8761 0.1234 0.7527  0.46
Ce 0.3707 0.1234 0.2473  0.46
Ce 0.3735 0.1207 0.7473  0.46
Ce 0.8764 0.6293 0.7526  0.46
H 0.0000 0.0000 0.0000  0.00
H 0.2500 0.7500 0.5000  0.00
Ir 0.6250 0.3750 0.2500  -0.05
Ir 0.6250 0.3750 0.7500  -0.05
Ir 0.6250 0.8750 0.2500  -0.04
Ir 0.1249 0.3750 0.7500  -0.04


(6)
Zr2TaTc2 after structural relaxation. Source: Alexandria, functional GGA-PBE.

Properties
Energy of formation from the pure elements in kJ/mol of atoms: -4.6
Relative energy among the computed polymorphs in meV/atom: 155.6

a b c (Å): 6.6068 6.6068 4.4675
angles (deg): 90.00 90.00 90.00
Fractional positions:
Zr 0.8194 0.3194 0.5000
Zr 0.1806 0.6806 0.5000
Zr 0.6806 0.8194 0.5000
Zr 0.3194 0.1806 0.5000
Tc 0.3659 0.8659 0.0000
Tc 0.1341 0.3659 0.0000
Tc 0.8659 0.6341 0.0000
Tc 0.6341 0.1341 0.0000
Ta 0.0000 0.0000 0.0000
Ta 0.5000 0.5000 0.0000


(7)
KSiSb2 after structural relaxation. Source: Alexandria, functional GGA-PBE.

Properties
Uncorrected formation energy in eV per formula unit: 1.17

a b c (Å): 5.7956 5.7956 5.7956
angles (deg): 131.58 131.58 70.90
Fractional positions:
Si 0.2500 0.7500 0.5000
K 0.7500 0.2500 0.5000
Sb 0.5000 0.5000 0.0000
Sb 0.0000 0.0000 0.0000


(8)
Zn2RuC2 after structural relaxation. Source: Alexandria, functional GGA-PBE.

Properties
Energy of formation from the pure elements in kJ/mol of atoms: 101.9
Relative energy among the computed polymorphs in meV/atom: 497.2

a b c (Å): 3.5522 3.5522 5.0217
angles (deg): 69.29 69.29 90.00
Each line ends with the local moment (μB).
Fractional positions:
Ru 0.0000 0.0000 0.0000  0.38
Zn 0.2500 0.7500 0.5000  0.00
Zn 0.7500 0.2500 0.5000  0.00
C 0.5786 0.5786 0.8428  0.00
C 0.4214 0.4214 0.1572  0.00


(9)
As2P5Au after structural relaxation. Source: Alexandria, functional GGA-PBE.

Properties
Energy of formation from the pure elements in kJ/mol of atoms: 20.3

a b c (Å): 5.1983 5.1983 15.3380
angles (deg): 90.00 90.00 126.73
Fractional positions:
Au 0.0364 0.9636 0.2500
Au 0.9636 0.0364 0.7500
P 0.8035 0.1965 0.3540
P 0.6229 0.3771 0.4616
P 0.1965 0.8035 0.8540
P 0.8035 0.1965 0.1460
P 0.3771 0.6229 0.9616
P 0.3622 0.6378 0.7500
P 0.3771 0.6229 0.5384
P 0.1965 0.8035 0.6460
P 0.6229 0.3771 0.0384
P 0.6378 0.3622 0.2500
As 0.7752 0.2248 0.9132
As 0.2248 0.7752 0.0868
As 0.2248 0.7752 0.4132
As 0.7752 0.2248 0.5868


(10)
V2Si2Sn after structural relaxation. Source: Alexandria, functional GGA-PBE.

Properties
Uncorrected formation energy in eV per formula unit: 0.42

a b c (Å): 4.0886 4.0886 5.8191
angles (deg): 69.43 69.43 90.00
Each line ends with the local moment (μB).
Fractional positions:
V 0.2500 0.7500 0.5000  0.18
V 0.7500 0.2500 0.5000  0.18
Sn 0.0000 0.0000 0.0000  0.00
Si 0.3854 0.3854 0.2291  0.00
Si 0.6146 0.6146 0.7709  0.00


(11)
CsFeH3 after structural relaxation. Source: Alexandria, functional GGA-PBE.

Properties
Energy in eV/cell: -17.52

a b c (Å): 4.0496 4.0496 4.0496
angles (deg): 90.00 90.00 90.00
Each line ends with the local moment (μB).
Fractional positions:
Fe 0.0000 0.0000 0.0000  3.11
H 0.0000 0.5000 0.0000  -0.01
H 0.5000 0.0000 0.0000  0.00
H 0.0000 0.0000 0.5000  -0.02
Cs 0.5000 0.5000 0.5000  0.03


One value per record, in order, for DOS at the Fermi energy: 1.499 0.202 0.885 0.850 2.879 1.313 0.435 0.490 0.281 0.908 2.472 states/eV/atom.
One value per record, in order, for calculated density: 7.48 4.66 5.41 6.86 8.99 9.53 4.84 7.74 5.02 5.44 4.80 g cm⁻³.
One value per record, in order, for total moment: 0.00 0.00 0.00 0.00 4.22 0.00 0.00 0.39 0.00 0.41 3.33 μB/cell.